Entry 1:
DFT (PBE) results for a geometry-optimized BeCd3Se structure.

Computed properties:
- distance to the lowest polymorph of the same formula (eV per atom) = 0.5396
- crystal system = cubic
- uncorrected formation energy (eV per atom) = 0.833

a b c (Å): 5.405 5.405 5.405
angles (deg): 90.00 90.00 90.00
Positions (direct):
1 Be 0.000 0.000 0.000
2 Cd 0.000 0.500 0.500
3 Cd 0.500 0.000 0.500
4 Cd 0.500 0.500 0.000
5 Se 0.500 0.500 0.500


Entry 2:
DFT (PBE) results for a geometry-optimized Cs2TbInI6 structure.

Computed properties:
- crystal system = monoclinic
- uncorrected formation energy (eV per atom) = -1.301

a b c (Å): 8.712 9.196 15.318
angles (deg): 90.00 124.38 90.00
Positions (direct):
1 Cs 0.226 0.074 0.251
2 Cs 0.226 0.426 0.751
3 Cs 0.774 0.574 0.249
4 Cs 0.774 0.926 0.749
5 Tb 0.500 0.000 0.000
6 Tb 0.500 0.500 0.500
7 In 0.000 0.000 0.500
8 In 0.000 0.500 0.000
9 I 0.171 0.183 0.958
10 I 0.171 0.317 0.458
11 I 0.278 0.719 0.958
12 I 0.278 0.781 0.458
13 I 0.350 0.014 0.766
14 I 0.350 0.486 0.266
15 I 0.650 0.514 0.734
16 I 0.650 0.986 0.234
17 I 0.722 0.219 0.542
18 I 0.722 0.281 0.042
19 I 0.829 0.683 0.542
20 I 0.829 0.817 0.042


Entry 3:
DFT (PBE) results for a geometry-optimized La2PrPt structure.

Computed properties:
- distance to the lowest polymorph of the same formula (eV per atom) = 0.1193
- crystal system = tetragonal
- E_form (eV per atom) = -0.5124

a b c (Å): 3.745 3.745 8.837
angles (deg): 90.00 90.00 90.00
Positions (direct):
1 La 0.000 0.000 0.193
2 La 0.000 0.000 0.807
3 Pr 0.500 0.500 0.500
4 Pt 0.500 0.500 0.000


Entry 4:
DFT (PBE) results for a geometry-optimized Li2LaTa structure.

Computed properties:
- distance to the lowest polymorph of the same formula (eV per atom) = 0.1216
- crystal system = monoclinic
- E_form (eV per atom) = 0.4635

a b c (Å): 2.958 5.417 5.516
angles (deg): 90.00 92.29 90.00
Positions (direct):
1 Li 0.227 0.000 0.204
2 Li 0.773 0.000 0.796
3 La 0.000 0.500 0.500
4 Ta 0.500 0.500 0.000


Entry 5:
DFT (PBE) results for a geometry-optimized CaLaAgPt structure.

Computed properties:
- crystal system = orthorhombic
- E_form (eV per atom) = -0.7192

a b c (Å): 4.400 6.169 6.169
angles (deg): 38.51 90.00 90.00
Positions (direct):
1 Ca 0.000 0.000 0.000
2 La 0.500 0.722 0.722
3 Ag 0.500 0.436 0.436
4 Pt 0.000 0.266 0.266


Entry 6:
DFT (PBE) results for a geometry-optimized AcNd2Ru structure.

Computed properties:
- distance to the lowest polymorph of the same formula (eV per atom) = 0.1476
- crystal system = trigonal
- E_form (eV per atom) = -0.0290

a b c (Å): 9.856 9.856 9.856
angles (deg): 23.89 23.89 23.89
Positions (direct):
1 Ac 0.000 0.000 0.000
2 Nd 0.221 0.221 0.221
3 Nd 0.447 0.447 0.447
4 Ru 0.834 0.834 0.834


no.,energy (eV per cell)
1,-5.79
2,-62.76
3,-22.72
4,-18.75
5,-18.70
6,-23.04